[1]
Rb4Ce3MnS8 | PBE-GGA | optimized geometry

Cell and atoms, written as CIF:
```
data_Rb4Ce3MnS8
_space_group_name_H-M_alt 'P 1'
_space_group_IT_number 1
_cell_length_a 8.288
_cell_length_b 9.017
_cell_length_c 8.289
_cell_angle_alpha 117.37
_cell_angle_beta 120.00
_cell_angle_gamma 90.00
loop_
_space_group_symop_operation_xyz
'x,y,z'
loop_
_atom_site_label
_atom_site_fract_x
_atom_site_fract_y
_atom_site_fract_z
Rb1 0.500 0.000 0.000
Rb2 0.500 0.000 0.500
Rb3 0.000 0.000 0.000
Rb4 0.000 0.000 0.500
Ce1 0.500 0.500 0.000
Ce2 0.500 0.500 0.500
Ce3 0.000 0.500 0.500
Mn1 0.000 0.500 0.000
S1 0.226 0.689 0.963
S2 0.226 0.689 0.451
S3 0.267 0.302 0.535
S4 0.738 0.689 0.963
S5 0.262 0.311 0.037
S6 0.733 0.698 0.465
S7 0.774 0.311 0.549
S8 0.774 0.311 0.037
```

Computed properties:
* VASP energy: -5.520 eV per atom
* D(E_F): 0.829 states/eV/atom
* mass density: 3.9 g cm⁻³
* V: 454.68 Å³/cell
* magnetization: 0.44 μB per atom



[2]
Rb2CeMnSe4 | PBE-GGA | optimized geometry

Cell and atoms, written as CIF:
```
data_Rb2CeMnSe4
_space_group_name_H-M_alt 'P 1'
_space_group_IT_number 1
_cell_length_a 8.805
_cell_length_b 8.804
_cell_length_c 8.864
_cell_angle_alpha 120.22
_cell_angle_beta 120.23
_cell_angle_gamma 90.56
loop_
_space_group_symop_operation_xyz
'x,y,z'
loop_
_atom_site_label
_atom_site_fract_x
_atom_site_fract_y
_atom_site_fract_z
Rb1 0.500 0.000 0.000
Rb2 0.500 0.000 0.500
Rb3 0.000 0.000 0.500
Rb4 0.500 0.500 0.000
Ce1 0.000 0.500 0.000
Ce2 0.000 0.500 0.500
Mn1 0.500 0.500 0.500
Mn2 0.000 0.000 0.000
Se1 0.198 0.731 0.965
Se2 0.769 0.302 0.535
Se3 0.231 0.698 0.465
Se4 0.802 0.269 0.035
Se5 0.768 0.732 0.948
Se6 0.768 0.732 0.552
Se7 0.232 0.268 0.448
Se8 0.232 0.268 0.052
```

Computed properties:
* VASP energy: -5.008 eV per atom
* D(E_F): 0.417 states/eV/atom
* mass density: 4.7 g cm⁻³
* V: 480.06 Å³/cell
* magnetization: 0.63 μB per atom



[3]
Rb4Ce3MnSe8 | PBE-GGA | optimized geometry

Cell and atoms, written as CIF:
```
data_Rb4Ce3MnSe8
_space_group_name_H-M_alt 'P 1'
_space_group_IT_number 1
_cell_length_a 8.616
_cell_length_b 9.383
_cell_length_c 8.615
_cell_angle_alpha 117.33
_cell_angle_beta 120.00
_cell_angle_gamma 90.00
loop_
_space_group_symop_operation_xyz
'x,y,z'
loop_
_atom_site_label
_atom_site_fract_x
_atom_site_fract_y
_atom_site_fract_z
Rb1 0.500 0.000 0.000
Rb2 0.500 0.000 0.500
Rb3 0.000 0.000 0.000
Rb4 0.000 0.000 0.500
Ce1 0.500 0.500 0.000
Ce2 0.500 0.500 0.500
Ce3 0.000 0.500 0.500
Mn1 0.000 0.500 0.000
Se1 0.226 0.692 0.966
Se2 0.226 0.692 0.452
Se3 0.266 0.299 0.532
Se4 0.740 0.692 0.966
Se5 0.260 0.308 0.034
Se6 0.734 0.701 0.468
Se7 0.774 0.308 0.548
Se8 0.774 0.308 0.034
```

Computed properties:
* VASP energy: -5.112 eV per atom
* D(E_F): 0.812 states/eV/atom
* mass density: 4.7 g cm⁻³
* V: 511.40 Å³/cell
* magnetization: 0.44 μB per atom



[4]
RbCeMnSe3 | PBE-GGA | optimized geometry

Cell and atoms, written as CIF:
```
data_RbCeMnSe3
_space_group_name_H-M_alt 'P 1'
_space_group_IT_number 1
_cell_length_a 4.330
_cell_length_b 9.426
_cell_length_c 9.969
_cell_angle_alpha 107.61
_cell_angle_beta 90.00
_cell_angle_gamma 90.00
loop_
_space_group_symop_operation_xyz
'x,y,z'
loop_
_atom_site_label
_atom_site_fract_x
_atom_site_fract_y
_atom_site_fract_z
Rb1 0.750 0.797 0.764
Rb2 0.250 0.203 0.236
Ce1 0.250 0.673 0.152
Ce2 0.750 0.327 0.848
Mn1 0.250 0.085 0.601
Mn2 0.750 0.915 0.399
Se1 0.250 0.804 0.466
Se2 0.750 0.882 0.141
Se3 0.750 0.462 0.155
Se4 0.750 0.196 0.534
Se5 0.250 0.538 0.845
Se6 0.250 0.118 0.859
```

Computed properties:
* VASP energy: -5.689 eV per atom
* D(E_F): 1.040 states/eV/atom
* mass density: 4.4 g cm⁻³
* V: 387.75 Å³/cell
* magnetization: 0.67 μB per atom